DFT (GGA+U) results for Ac2MnTlO5 after structural relaxation.

Properties
The magnetization is 9.40 μB per cell. Its calculated total energy is -124.42 eV/cell. As for the symmetry: Cmc2_1 (36).

Lattice parameters (Å, degrees): 3.616 7.782 10.523 90.00 90.00 103.43
Element x y z (fractional)
Ac: 0.878 0.757 0.792
Ac: 0.129 0.258 0.687
Ac: 0.122 0.243 0.292
Ac: 0.871 0.742 0.187
Mn: 0.778 0.556 0.490
Mn: 0.222 0.444 0.990
Tl: 0.561 0.121 0.985
Tl: 0.439 0.879 0.485
O: 0.355 0.710 0.006
O: 0.709 0.418 0.846
O: 0.501 0.002 0.785
O: 0.300 0.599 0.641
O: 0.980 0.959 0.592
O: 0.645 0.290 0.506
O: 0.291 0.582 0.346
O: 0.499 0.998 0.285
O: 0.700 0.401 0.141
O: 0.020 0.041 0.092